(1)
Below is a geometry-optimized Y2ZrAg structure, with properties calculated at the GGA-PBE level.

a b c (Å): 10.4463 10.4463 10.4463
angles (deg): 18.89 18.89 18.89
Closest atoms and distances in Å follow each position.
Element x y z (fractional)
Zr1 0.7500 0.7500 0.7500  6 Y 3.33, 6 Zr 3.43
Y1 0.5036 0.5036 0.5036  3 Ag 3.15, 3 Zr 3.33, 6 Y 3.43
Y2 0.9964 0.9964 0.9964  3 Ag 3.15, 3 Zr 3.33, 6 Y 3.43
Ag1 0.2500 0.2500 0.2500  6 Y 3.15, 6 Ag 3.43

Output
* calculated formation energy: 0.022 eV/atom
* density of states at the Fermi level: 3.18 states/eV per cell
* space group: R-3m, No. 166

***

(2)
Below is a geometry-optimized TcOsSCl2 structure, with properties calculated at the GGA-PBE level.

a b c (Å): 4.9146 4.9146 4.4775
angles (deg): 90.00 90.00 90.00
Closest atoms and distances in Å follow each position.
Element x y z (fractional)
Tc1 0.5000 0.5000 0.5000  8 Cl 3.32, 4 S 3.48
S1 0.0000 0.0000 0.5000  2 Os 2.24
Cl1 0.5000 0.0000 0.0000  2 Os 2.46
Cl2 0.0000 0.5000 0.0000  2 Os 2.46
Os1 0.0000 0.0000 0.0000  2 S 2.24, 4 Cl 2.46

Output
* density of states at the Fermi level: 4.69 states/eV per cell
* space group: P4/mmm, No. 123
* total energy: -24.62 eV/f.u.

***

(3)
Below is a geometry-optimized Ac5IrPt structure, with properties calculated at the GGA-PBE level.

a b c (Å): 7.2812 7.2812 11.4664
angles (deg): 106.64 106.64 80.25
Closest atoms and distances in Å follow each position.
Element x y z (fractional)
Ac1 0.7676 0.3626 0.9852  1 Ir 2.91, 1 Pt 2.98
Ac2 0.1374 0.7324 0.5148  1 Ir 2.91, 1 Pt 2.98
Ac3 0.2479 0.2521 0.2500  1 Pt 3.05, 2 Ir 3.16
Ac4 0.5738 0.7431 0.3618  1 Ir 2.89, 1 Pt 3.08
Ac5 0.2431 0.0738 0.8618  1 Ir 2.89, 1 Pt 3.08
Ac6 0.4262 0.2569 0.6382  1 Ir 2.89, 1 Pt 3.08
Ac7 0.7521 0.7479 0.7500  1 Pt 3.05, 2 Ir 3.16
Ac8 0.2324 0.6374 0.0148  1 Ir 2.91, 1 Pt 2.98
Ac9 0.8626 0.2676 0.4852  1 Ir 2.91, 1 Pt 2.98
Ac10 0.7569 0.9262 0.1382  1 Ir 2.89, 1 Pt 3.08
Pt1 0.0776 0.4224 0.7500  5 Ac 2.98-3.08
Pt2 0.9224 0.5776 0.2500  5 Ac 2.98-3.08
Ir1 0.5000 0.5000 0.5000  6 Ac 2.89-3.16
Ir2 0.0000 0.0000 0.0000  6 Ac 2.89-3.16

Output
* calculated formation energy: -0.455 eV/atom
* density of states at the Fermi level: 15.26 states/eV per cell
* space group: C2/c, No. 15

***

Among the records above, which one has the lowest density of states at the Fermi level? Y2ZrAg

***

Among the records above, which one has the highest density of states at the Fermi level? Ac5IrPt

***

Repeat the third record exactly.
Below is a geometry-optimized Ac5IrPt structure, with properties calculated at the GGA-PBE level.

a b c (Å): 7.2812 7.2812 11.4664
angles (deg): 106.64 106.64 80.25
Closest atoms and distances in Å follow each position.
Element x y z (fractional)
Ac1 0.7676 0.3626 0.9852  1 Ir 2.91, 1 Pt 2.98
Ac2 0.1374 0.7324 0.5148  1 Ir 2.91, 1 Pt 2.98
Ac3 0.2479 0.2521 0.2500  1 Pt 3.05, 2 Ir 3.16
Ac4 0.5738 0.7431 0.3618  1 Ir 2.89, 1 Pt 3.08
Ac5 0.2431 0.0738 0.8618  1 Ir 2.89, 1 Pt 3.08
Ac6 0.4262 0.2569 0.6382  1 Ir 2.89, 1 Pt 3.08
Ac7 0.7521 0.7479 0.7500  1 Pt 3.05, 2 Ir 3.16
Ac8 0.2324 0.6374 0.0148  1 Ir 2.91, 1 Pt 2.98
Ac9 0.8626 0.2676 0.4852  1 Ir 2.91, 1 Pt 2.98
Ac10 0.7569 0.9262 0.1382  1 Ir 2.89, 1 Pt 3.08
Pt1 0.0776 0.4224 0.7500  5 Ac 2.98-3.08
Pt2 0.9224 0.5776 0.2500  5 Ac 2.98-3.08
Ir1 0.5000 0.5000 0.5000  6 Ac 2.89-3.16
Ir2 0.0000 0.0000 0.0000  6 Ac 2.89-3.16

Output
* calculated formation energy: -0.455 eV/atom
* density of states at the Fermi level: 15.26 states/eV per cell
* space group: C2/c, No. 15